Version A
CaAl2Cl (GGA-PBE, optimized geometry); symmetry = P4/mmm, No. 123; total moment = 0.00 μB/cell
1.0
4.5944 0.0000 0.0000
0.0000 4.5944 0.0000
0.0000 0.0000 5.2541
Ca Al Cl
1 2 1
Direct
0.0000 0.0000 0.0000
0.5000 0.5000 0.2414
0.5000 0.5000 0.7586
0.0000 0.0000 0.5000

---

Version B
CaAl2Cl (GGA-PBE, optimized geometry); symmetry = Pmmm, No. 47; total moment = 0.00 μB/cell
1.0
3.4496 0.0000 0.0000
0.0000 4.2731 0.0000
0.0000 0.0000 6.4513
Ca Al Cl
1 2 1
Direct
0.0000 0.0000 0.0000
0.0000 0.5000 0.5000
0.5000 0.0000 0.5000
0.5000 0.5000 0.0000

---

version B ends up most stable, edging out the next structure by 295 meV per atom.

---

Version A
CaAl2Cl (GGA-PBE, optimized geometry); symmetry = I-42d, No. 122; total moment = 0.00 μB/cell
1.0
-1.9396 1.9396 13.2206
1.9396 -1.9396 13.2206
1.9396 1.9396 -13.2206
Ca Al Cl
2 4 2
Direct
0.0000 0.0000 0.0000
0.7500 0.2500 0.5000
0.1133 0.6250 0.9883
0.3750 0.3633 0.4883
0.6367 0.1250 0.0117
0.8750 0.8867 0.5117
0.2500 0.7500 0.5000
0.5000 0.5000 0.0000

---

Version B
CaAl2Cl (GGA-PBE, optimized geometry); symmetry = Cmmm, No. 65; total moment = 0.00 μB/cell
1.0
2.6905 -5.4728 0.0000
2.6905 5.4728 0.0000
0.0000 0.0000 3.3951
Ca Al Cl
1 2 1
Direct
0.0000 0.0000 0.0000
0.0000 0.5000 0.5000
0.5000 0.0000 0.5000
0.5000 0.5000 0.0000

---

Version C
CaAl2Cl (GGA-PBE, optimized geometry); symmetry = P4/mmm, No. 123; total moment = 0.00 μB/cell
1.0
3.2595 0.0000 0.0000
0.0000 3.2595 0.0000
0.0000 0.0000 8.6292
Ca Al Cl
1 2 1
Direct
0.0000 0.0000 0.0000
0.5000 0.5000 0.2603
0.5000 0.5000 0.7397
0.0000 0.0000 0.5000

---

Version D
CaAl2Cl (GGA-PBE, optimized geometry); symmetry = Fm-3m, No. 225; total moment = 0.00 μB/cell
1.0
0.0000 3.7181 3.7181
3.7181 0.0000 3.7181
3.7181 3.7181 0.0000
Ca Al Cl
1 2 1
Direct
0.0000 0.0000 0.0000
0.2500 0.2500 0.2500
0.7500 0.7500 0.7500
0.5000 0.5000 0.5000

---

version A ends up most stable, edging out the next structure by 299 meV per atom.

---

Version A
CaAl2Cl (GGA-PBE, optimized geometry); symmetry = R-3m, No. 166; total moment = 0.00 μB/cell
1.0
1.7084 0.9863 9.2406
-1.7084 0.9863 9.2406
0.0000 -1.9727 9.2406
Ca Al Cl
1 2 1
Direct
0.0000 0.0000 0.0000
0.2421 0.2421 0.2421
0.7579 0.7579 0.7579
0.5000 0.5000 0.5000

---

Version B
CaAl2Cl (GGA-PBE, optimized geometry); symmetry = Imm2, No. 44; total moment = 0.00 μB/cell
1.0
-1.7153 3.0010 4.6692
1.7153 -3.0010 4.6692
1.7153 3.0010 -4.6692
Ca Al Cl
1 2 1
Direct
0.0000 0.0000 0.0000
0.2944 0.7944 0.5000
0.5225 0.5225 0.0000
0.7669 0.2669 0.5000

---

Version C
CaAl2Cl (GGA-PBE, optimized geometry); symmetry = Cmmm, No. 65; total moment = 0.00 μB/cell
1.0
1.8765 -2.6903 0.0000
1.8765 2.6903 0.0000
0.0000 0.0000 9.1740
Ca Al Cl
1 2 1
Direct
0.0000 0.0000 0.0000
0.5000 0.5000 0.2687
0.5000 0.5000 0.7313
0.0000 0.0000 0.5000

---

version B ends up most stable, edging out the next structure by 247 meV per atom.

---

Version A
CaAlCl (GGA-PBE, optimized geometry); symmetry = F-43m, No. 216; total moment = 0.58 μB/cell
1.0
0.0000 3.6258 3.6258
3.6258 0.0000 3.6258
3.6258 3.6258 0.0000
Ca Al Cl
1 1 1
Direct
0.0000 0.0000 0.0000
0.7500 0.7500 0.7500
0.2500 0.2500 0.2500

---

Version B
CaAlCl (GGA-PBE, optimized geometry); symmetry = F-43m, No. 216; total moment = 0.00 μB/cell
1.0
0.0000 3.4543 3.4543
3.4543 0.0000 3.4543
3.4543 3.4543 0.0000
Ca Al Cl
1 1 1
Direct
0.0000 0.0000 0.0000
0.5000 0.5000 0.5000
0.7500 0.7500 0.7500

---

Version C
CaAlCl (GGA-PBE, optimized geometry); symmetry = I4mm, No. 107; total moment = 0.00 μB/cell
1.0
-1.6856 1.6856 8.3872
1.6856 -1.6856 8.3872
1.6856 1.6856 -8.3872
Ca Al Cl
1 1 1
Direct
0.0000 0.0000 0.0000
0.3620 0.3620 0.0000
0.5888 0.5888 0.0000

---

Version D
CaAlCl (GGA-PBE, optimized geometry); symmetry = P3m1, No. 156; total moment = 0.00 μB/cell
1.0
3.6648 0.0000 0.0000
-1.8324 3.1738 0.0000
0.0000 0.0000 8.3119
Ca Al Cl
1 1 1
Direct
0.0000 0.0000 0.0000
0.3333 0.6667 0.7059
0.6667 0.3333 0.1990

---

version C ends up most stable, edging out the next structure by 15 meV per atom.

---

Version A
Ca2AlCl (GGA-PBE, optimized geometry); symmetry = P4/mmm, No. 123; total moment = 0.00 μB/cell
1.0
3.5350 0.0000 0.0000
0.0000 3.5350 0.0000
0.0000 0.0000 8.2549
Ca Al Cl
2 1 1
Direct
0.0000 0.0000 0.2390
0.0000 0.0000 0.7610
0.5000 0.5000 0.0000
0.5000 0.5000 0.5000

---

Version B
Ca2AlCl (GGA-PBE, optimized geometry); symmetry = Imm2, No. 44; total moment = 0.00 μB/cell
1.0
-1.8321 1.8987 8.1826
1.8321 -1.8987 8.1826
1.8321 1.8987 -8.1826
Ca Al Cl
2 1 1
Direct
0.0000 0.0000 0.0000
0.7530 0.2530 0.5000
0.3550 0.8550 0.5000
0.5939 0.5939 0.0000

---

Version C
Ca2AlCl (GGA-PBE, optimized geometry); symmetry = Pmmm, No. 47; total moment = 0.00 μB/cell
1.0
3.5943 0.0000 0.0000
0.0000 3.7992 0.0000
0.0000 0.0000 8.2656
Ca Al Cl
2 1 1
Direct
0.0000 0.0000 0.2295
0.0000 0.0000 0.7705
0.5000 0.5000 0.0000
0.5000 0.0000 0.5000

---

Version D
Ca2AlCl (GGA-PBE, optimized geometry); symmetry = I-42d, No. 122; total moment = 0.00 μB/cell
1.0
-3.8780 3.8780 4.1297
3.8780 -3.8780 4.1297
3.8780 3.8780 -4.1297
Ca Al Cl
4 2 2
Direct
0.0940 0.6250 0.9690
0.3750 0.3440 0.4690
0.6560 0.1250 0.0310
0.8750 0.9060 0.5310
0.2500 0.7500 0.5000
0.5000 0.5000 0.0000
0.0000 0.0000 0.0000
0.7500 0.2500 0.5000

---

version C ends up most stable, edging out the next structure by 92 meV per atom.

---

Version A
CaAlCl2 (GGA-PBE, optimized geometry); symmetry = F-43m, No. 216; total moment = 0.52 μB/cell
1.0
0.0000 3.6834 3.6834
3.6834 0.0000 3.6834
3.6834 3.6834 0.0000
Ca Al Cl
1 1 2
Direct
0.0000 0.0000 0.0000
0.2500 0.2500 0.2500
0.5000 0.5000 0.5000
0.7500 0.7500 0.7500

---

Version B
CaAlCl2 (GGA-PBE, optimized geometry); symmetry = R-3m, No. 166; total moment = 0.00 μB/cell
1.0
2.1641 1.2494 8.6912
-2.1641 1.2494 8.6912
0.0000 -2.4989 8.6912
Ca Al Cl
1 1 2
Direct
0.0000 0.0000 0.0000
0.5000 0.5000 0.5000
0.1002 0.1002 0.1002
0.8998 0.8998 0.8998

---

Version C
CaAlCl2 (GGA-PBE, optimized geometry); symmetry = R-3m, No. 166; total moment = 0.00 μB/cell
1.0
1.9504 1.1261 9.9575
-1.9504 1.1261 9.9575
0.0000 -2.2522 9.9575
Ca Al Cl
1 1 2
Direct
0.0000 0.0000 0.0000
0.5000 0.5000 0.5000
0.3843 0.3843 0.3843
0.6157 0.6157 0.6157

---

version C ends up most stable, edging out the next structure by 446 meV per atom.

---

Version A
CaAlCl2 (GGA-PBE, optimized geometry); symmetry = I-4m2, No. 119; total moment = 0.96 μB/cell
1.0
-2.0340 2.0340 6.0014
2.0340 -2.0340 6.0014
2.0340 2.0340 -6.0014
Ca Al Cl
1 1 2
Direct
0.0000 0.0000 0.0000
0.7500 0.2500 0.5000
0.2500 0.7500 0.5000
0.5000 0.5000 0.0000

---

Version B
CaAlCl2 (GGA-PBE, optimized geometry); symmetry = Fm-3m, No. 225; total moment = 0.00 μB/cell
1.0
0.0000 3.6279 3.6279
3.6279 0.0000 3.6279
3.6279 3.6279 0.0000
Ca Al Cl
1 1 2
Direct
0.0000 0.0000 0.0000
0.5000 0.5000 0.5000
0.2500 0.2500 0.2500
0.7500 0.7500 0.7500

---

Version C
CaAlCl2 (GGA-PBE, optimized geometry); symmetry = Cmm2, No. 35; total moment = 0.00 μB/cell
1.0
2.0993 -2.8409 0.0000
2.0993 2.8409 0.0000
0.0000 0.0000 9.0743
Ca Al Cl
1 1 2
Direct
0.0000 0.0000 0.0000
0.5000 0.5000 0.2543
0.0000 0.0000 0.4209
0.5000 0.5000 0.8271

---

Version D
CaAlCl2 (GGA-PBE, optimized geometry); symmetry = C2/m, No. 12; total moment = 0.90 μB/cell
1.0
3.5035 -4.0054 0.0000
3.5035 4.0054 0.0000
-3.4902 0.0000 4.0140
Ca Al Cl
1 1 2
Direct
0.0000 0.0000 0.0000
0.5000 0.5000 0.0000
0.0000 0.5000 0.5000
0.5000 0.0000 0.5000

---

version C ends up most stable, edging out the next structure by 42 meV per atom.

---

Version A
Ca2AlH10ClO8 (GGA-PBE, optimized geometry); symmetry = Cc, No. 9; total moment = 0.00 μB/cell
1.0
4.9691 -2.9094 0.0000
4.9691 2.9094 0.0000
-4.0572 0.0000 16.2604
Ca Al H Cl O
4 2 20 2 16
Direct
0.1871 0.8129 0.5000
0.5086 0.8853 0.0725
0.8129 0.1871 0.0000
0.8853 0.5086 0.5725
0.1618 0.5361 0.0362
0.5361 0.1618 0.5362
0.0070 0.9260 0.1522
0.0636 0.6195 0.3185
0.0659 0.8938 0.3175
0.0708 0.6221 0.7554
0.0845 0.3678 0.1537
0.1474 0.3209 0.4187
0.2542 0.6956 0.9204
0.3209 0.1474 0.9187
0.3678 0.0845 0.6537
0.4532 0.5497 0.6534
0.5497 0.4532 0.1534
0.6099 0.7751 0.4187
0.6195 0.0636 0.8185
0.6221 0.0708 0.2554
0.6281 0.7910 0.2538
0.6956 0.2542 0.4204
0.7751 0.6099 0.9187
0.7910 0.6281 0.7538
0.8938 0.0659 0.8175
0.9260 0.0070 0.6522
0.3456 0.8455 0.7864
0.8455 0.3456 0.2864
0.1315 0.3074 0.0979
0.1419 0.7371 0.3472
0.1918 0.7646 0.9742
0.2053 0.3856 0.4738
0.3074 0.1315 0.5979
0.3856 0.2053 0.9738
0.4950 0.5053 0.0981
0.5053 0.4950 0.5981
0.5485 0.9507 0.2252
0.5674 0.8271 0.4749
0.7371 0.1419 0.8472
0.7646 0.1918 0.4742
0.8271 0.5674 0.9749
0.8679 0.9365 0.5984
0.9365 0.8679 0.0984
0.9507 0.5485 0.7252

---

Version B
Ca2AlH10ClO8 (GGA-PBE, optimized geometry); symmetry = C2/c, No. 15; total moment = 0.00 μB/cell
1.0
8.3998 -3.1466 0.0000
8.3998 3.1466 0.0000
-2.3474 0.0000 10.4588
Ca Al H Cl O
4 2 20 2 16
Direct
0.0013 0.4255 0.1718
0.4255 0.0013 0.6718
0.5745 0.9987 0.3282
0.9987 0.5745 0.8282
0.0000 0.5000 0.5000
0.5000 0.0000 0.0000
0.0627 0.7030 0.1321
0.0775 0.7998 0.5492
0.1105 0.7561 0.4811
0.2002 0.9225 0.9508
0.2439 0.8895 0.0189
0.2761 0.6580 0.9276
0.2970 0.9373 0.3679
0.3420 0.7239 0.5724
0.4341 0.4481 0.8293
0.4481 0.4341 0.3293
0.5519 0.5659 0.6707
0.5659 0.5519 0.1707
0.6580 0.2761 0.4276
0.7030 0.0627 0.6321
0.7239 0.3420 0.0724
0.7561 0.1105 0.9811
0.7998 0.0775 0.0492
0.8895 0.2439 0.5189
0.9225 0.2002 0.4508
0.9373 0.2970 0.8679
0.2553 0.7447 0.2500
0.7447 0.2553 0.7500
0.0022 0.6534 0.0735
0.1140 0.3660 0.6394
0.1819 0.2344 0.3834
0.2344 0.1819 0.8834
0.2964 0.5418 0.8751
0.3466 0.9978 0.4265
0.3660 0.1140 0.1394
0.4582 0.7036 0.6249
0.5418 0.2964 0.3751
0.6340 0.8860 0.8606
0.6534 0.0022 0.5735
0.7036 0.4582 0.1249
0.7656 0.8181 0.1166
0.8181 0.7656 0.6166
0.8860 0.6340 0.3606
0.9978 0.3466 0.9265

---

version A ends up most stable, edging out the next structure by 456 meV per atom.